Record 1
This record from Alexandria describes a relaxed Ca2Ir3O8 crystal. The functional is GGA-PBE.

a = 5.3721 Å, b = 6.3721 Å, c = 6.3200 Å
α = 120.27°, β = 108.21°, γ = 90.00°
With the nearest neighbours (Å) after each atom.
Sites, in units of the cell vectors:
1 Ca 0.3394 0.2804 0.5607  6 O 2.33-2.47
2 Ca 0.6606 0.7196 0.4393  6 O 2.33-2.47
3 Ir 0.5000 0.0000 0.0000  6 O 2.02-2.09
4 Ir 0.0000 0.2551 0.0000  6 O 1.99-2.08
5 Ir 0.0000 0.7449 0.0000  6 O 1.99-2.08
6 O 0.9432 0.6005 0.2010  2 Ir 1.99
7 O 0.0568 0.3995 0.7990  2 Ir 1.99
8 O 0.9141 0.0971 0.1942  3 Ir 2.08-2.09
9 O 0.0859 0.9029 0.8058  3 Ir 2.08-2.09
10 O 0.6078 0.6748 0.7903  2 Ir 2.01-2.02
11 O 0.6078 0.1156 0.7903  2 Ir 2.01-2.02
12 O 0.3922 0.8844 0.2097  2 Ir 2.01-2.02
13 O 0.3922 0.3252 0.2097  2 Ir 2.01-2.02

Properties
raw total energy: -6.8514 eV/atom
total magnetization: 0.94 μB/f.u.

---

Record 2
This record from Alexandria describes a relaxed CaIrO4 crystal. The functional is GGA-PBE.

a = 5.3058 Å, b = 5.3058 Å, c = 6.8968 Å
α = 112.62°, β = 112.62°, γ = 90.00°
With the nearest neighbours (Å) after each atom.
Sites, in units of the cell vectors:
1 Ca 0.0000 0.0000 0.0000  8 O 2.41-2.52
2 Ca 0.7500 0.2500 0.5000  8 O 2.41-2.52
3 Ir 0.5000 0.5000 0.0000  4 O 1.84
4 Ir 0.2500 0.7500 0.5000  4 O 1.84
5 O 0.0082 0.9221 0.3405  1 Ir 1.84
6 O 0.1684 0.2582 0.8405  1 Ir 1.84
7 O 0.6721 0.5823 0.8405  1 Ir 1.84
8 O 0.3323 0.4184 0.3405  1 Ir 1.84
9 O 0.4177 0.8316 0.1595  1 Ir 1.84
10 O 0.0779 0.6677 0.6595  1 Ir 1.84
11 O 0.5816 0.9918 0.6595  1 Ir 1.84
12 O 0.7418 0.3279 0.1595  1 Ir 1.84

Properties
raw total energy: -6.4116 eV/atom
total magnetization: 0.95 μB/f.u.

---

Record 3
This record from Alexandria describes a relaxed CaIrO6 crystal. The functional is GGA-PBE.

a = 5.1731 Å, b = 5.1731 Å, c = 3.8395 Å
α = 85.62°, β = 85.62°, γ = 99.60°
With the nearest neighbours (Å) after each atom.
Sites, in units of the cell vectors:
1 Ca 0.5000 0.5000 0.5000  8 O 2.42-2.56
2 Ir 0.0000 0.0000 0.0000  6 O 1.88-2.00
3 O 0.1391 0.7623 0.3465  1 O 1.42
4 O 0.7623 0.1391 0.3465  1 O 1.42
5 O 0.2377 0.8609 0.6535  1 O 1.42
6 O 0.8609 0.2377 0.6535  1 O 1.42
7 O 0.2767 0.2767 0.0454  1 Ir 1.88
8 O 0.7233 0.7233 0.9546  1 Ir 1.88

Properties
raw total energy: -6.0417 eV/atom
total magnetization: 0.94 μB/f.u.